Record 1
Here is KBe2 after structural relaxation from Alexandria. Energies are from GGA-PBE.

Output
energy of formation = 1.032 eV/atom
energy relative to the lowest polymorph listed for this composition = 0.600 eV per atom
crystal system = orthorhombic
space-group type = Pnnm, No. 58
DFT total energy = -1.818 eV per atom
total moment = 0.00 Bohr magnetons per cell
N(E_F) = 0.30 states/eV/atom
V = 128.2 Å³ per cell

```
6
Lattice="2.592 0.000 0.000 0.000 8.016 0.000 0.000 0.000 6.171" Properties=species:S:1:pos:R:3 pbc="T T T"
K 0.000 0.000 0.000
K 1.296 4.008 3.085
Be 0.644 3.188 0.000
Be 0.651 7.196 3.085
Be 1.940 0.819 3.085
Be 1.947 4.827 0.000
```

Record 2
Here is LiBeSb4 after structural relaxation from Alexandria. Energies are from GGA-PBE.

Output
ΔE_f (raw) = 513.1 meV/atom
crystal system = cubic
space-group type = F-43m, No. 216
DFT total energy = -3.175 eV per atom
total moment = 0.00 Bohr magnetons per cell
N(E_F) = 0.46 states/eV/atom
V = 168.8 Å³ per cell

```
6
Lattice="0.000 4.387 4.387 4.387 0.000 4.387 4.387 4.387 0.000" Properties=species:S:1:pos:R:3 pbc="T T T"
Li 0.000 0.000 0.000
Be 2.193 2.193 2.193
Sb 5.472 3.302 3.302
Sb 3.302 5.472 3.302
Sb 3.302 3.302 5.472
Sb 5.472 5.472 5.472
```

Record 3
Here is SrTh2N4 after structural relaxation from Alexandria. Energies are from GGA-PBE.

Output
ΔE_f (raw) = -934.1 meV/atom
crystal system = tetragonal
space-group type = I-42d, No. 122
DFT total energy = -8.052 eV per atom
total moment = 0.00 Bohr magnetons per cell
N(E_F) = 0.80 states/eV/atom
V = 222.6 Å³ per cell

```
14
Lattice="-3.737 3.737 3.985 3.737 -3.737 3.985 3.737 3.737 -3.985" Properties=species:S:1:pos:R:3 pbc="T T T"
Sr 0.000 0.000 0.000
Sr 0.000 3.737 1.992
Th 1.868 -0.876 2.989
Th 2.860 1.868 0.996
Th 1.868 4.613 -0.996
Th 0.876 1.868 4.981
N 4.952 0.631 0.605
N 3.106 2.522 -1.387
N 0.631 2.522 -0.605
N 0.631 1.215 2.598
N 3.106 1.215 3.380
N 1.215 -0.631 5.372
N 2.522 4.368 1.387
N -1.215 3.106 4.590
```

Record 4
Here is Ho3Sn3Rh2 after structural relaxation from Alexandria. Energies are from GGA-PBE.

Output
energy of formation = -0.798 eV/atom
crystal system = orthorhombic
space-group type = Pnma, No. 62
DFT total energy = -5.853 eV per atom
total moment = 0.00 Bohr magnetons per cell
N(E_F) = 0.73 states/eV/atom
V = 739.7 Å³ per cell

```
32
Lattice="8.471 0.000 0.000 0.000 15.040 0.000 0.000 0.000 5.806" Properties=species:S:1:pos:R:3 pbc="T T T"
Ho 0.250 1.693 0.659
Ho 0.250 5.827 0.659
Ho 1.437 3.760 3.693
Ho 2.798 11.280 0.790
Ho 3.985 9.213 3.562
Ho 3.985 13.347 3.562
Ho 4.485 1.693 2.244
Ho 4.485 5.827 2.244
Ho 5.673 3.760 5.015
Ho 7.033 11.280 2.112
Ho 8.221 9.213 5.147
Ho 8.221 13.347 5.147
Sn 1.567 11.280 3.648
Sn 1.642 0.514 3.541
Sn 1.642 7.006 3.541
Sn 2.593 8.034 0.639
Sn 2.593 14.526 0.639
Sn 2.668 3.760 0.745
Sn 5.803 11.280 5.061
Sn 5.878 0.514 5.167
Sn 5.878 7.006 5.167
Sn 6.828 8.034 2.264
Sn 6.828 14.526 2.264
Sn 6.903 3.760 2.158
Rh 0.708 9.196 2.126
Rh 0.708 13.364 2.126
Rh 3.527 1.676 5.029
Rh 3.527 5.844 5.029
Rh 4.943 9.196 0.776
Rh 4.943 13.364 0.776
Rh 7.763 1.676 3.679
Rh 7.763 5.844 3.679
```

Record 5
Here is CrOsW2N after structural relaxation from Alexandria. Energies are from GGA-PBE.

Output
ΔE_f (raw) = -44.1 meV/atom
crystal system = tetragonal
space-group type = P4/mmm, No. 123
DFT total energy = -11.061 eV per atom
total moment = 0.85 Bohr magnetons per cell
N(E_F) = 0.80 states/eV/atom
V = 65.0 Å³ per cell

```
5
Lattice="4.096 0.000 0.000 0.000 4.096 0.000 0.000 0.000 3.875" Properties=species:S:1:pos:R:3 pbc="T T T"
Cr 0.000 0.000 0.000
Os 2.048 2.048 0.000
W 0.000 2.048 1.938
W 2.048 0.000 1.938
N 0.000 0.000 1.938
```

Record 6
Here is TiZn2Cr after structural relaxation from Alexandria. Energies are from GGA-PBE.

Output
energy of formation = 0.069 eV/atom
energy relative to the lowest polymorph listed for this composition = 0.073 eV per atom
crystal system = tetragonal
space-group type = P4/mmm, No. 123
DFT total energy = -4.948 eV per atom
total moment = 2.31 Bohr magnetons per cell
N(E_F) = 0.71 states/eV/atom
V = 59.9 Å³ per cell

```
4
Lattice="3.082 0.000 0.000 0.000 3.082 0.000 0.000 0.000 6.303" Properties=species:S:1:pos:R:3 pbc="T T T"
Ti 0.000 0.000 0.000
Zn 1.541 1.541 1.687
Zn 1.541 1.541 4.617
Cr 0.000 0.000 3.152
```

Which formula does entry 3 have? SrTh2N4

Which value of V does entry 1 give? 128.2 Å³ per cell

Among the records above, which one has the lowest DFT total energy? CrOsW2N

Look up the V of the fifth one. 65.0 Å³ per cell